Record 1
CaTlW2 | PBE | relaxed

Output
Its space group is I-42d. For the energy, the calculation gives -6.016 eV/atom. The energy of formation from the pure elements is 1.552 eV per atom. For the volume, the calculation gives 22.8 Å³ per atom.

Lattice parameters (Å, degrees): 6.417 6.417 6.417 100.14 100.14 130.39
Fractional positions:
Ca (0.000, 0.000, 0.000)
Ca (0.750, 0.250, 0.500)
Tl (0.250, 0.750, 0.500)
Tl (0.500, 0.500, 0.000)
W (0.162, 0.625, 0.037)
W (0.375, 0.412, 0.537)
W (0.588, 0.125, 0.963)
W (0.875, 0.838, 0.463)

***

Record 2
CaTl2W | PBE | relaxed

Output
Its space group is P4mm. For the energy, the calculation gives -4.259 eV/atom. The energy of formation from the pure elements is 0.663 eV per atom. For the volume, the calculation gives 24.1 Å³ per atom.

Lattice parameters (Å, degrees): 3.105 3.105 9.983 90.00 90.00 90.00
Fractional positions:
Ca (0.000, 0.000, 0.000)
Tl (0.000, 0.000, 0.545)
Tl (0.500, 0.500, 0.271)
W (0.500, 0.500, 0.772)

***

Record 3
CaTl2W | PBE | relaxed

Output
Its space group is Fm-3m. For the energy, the calculation gives -4.256 eV/atom. The energy of formation from the pure elements is 0.666 eV per atom. For the volume, the calculation gives 23.5 Å³ per atom.

Lattice parameters (Å, degrees): 5.106 5.106 5.106 60.00 60.00 60.00
Fractional positions:
Ca (0.000, 0.000, 0.000)
Tl (0.250, 0.250, 0.250)
Tl (0.750, 0.750, 0.750)
W (0.500, 0.500, 0.500)

***

Record 4
CaTl2W | PBE | relaxed

Output
Its space group is P4/mmm. For the energy, the calculation gives -4.194 eV/atom. The energy of formation from the pure elements is 0.728 eV per atom. For the volume, the calculation gives 22.8 Å³ per atom.

Lattice parameters (Å, degrees): 4.782 4.782 3.979 90.00 90.00 90.00
Fractional positions:
Ca (0.000, 0.000, 0.000)
Tl (0.000, 0.500, 0.500)
Tl (0.500, 0.000, 0.500)
W (0.500, 0.500, 0.000)

***

Record 5
CaTl2W | PBE | relaxed

Output
Its space group is Pmmm. For the energy, the calculation gives -4.179 eV/atom. The energy of formation from the pure elements is 0.743 eV per atom. For the volume, the calculation gives 23.9 Å³ per atom.

Lattice parameters (Å, degrees): 3.133 5.250 5.819 90.00 90.00 90.00
Fractional positions:
Ca (0.000, 0.000, 0.000)
Tl (0.000, 0.500, 0.500)
Tl (0.500, 0.500, 0.000)
W (0.500, 0.000, 0.500)

***

Record 6
CaTl2W | PBE | relaxed

Output
Its space group is I-42d. For the energy, the calculation gives -3.936 eV/atom. The energy of formation from the pure elements is 0.986 eV per atom. For the volume, the calculation gives 28.1 Å³ per atom.

Lattice parameters (Å, degrees): 10.563 10.563 10.563 154.08 154.08 36.98
Fractional positions:
Ca (0.000, 0.000, 0.000)
Ca (0.750, 0.250, 0.500)
Tl (0.180, 0.625, 0.055)
Tl (0.375, 0.430, 0.555)
Tl (0.570, 0.125, 0.945)
Tl (0.875, 0.820, 0.445)
W (0.250, 0.750, 0.500)
W (0.500, 0.500, 0.000)

***

Record 7
CaTlW2 | PBE | relaxed

Output
Its space group is Cm. For the energy, the calculation gives -6.840 eV/atom. The energy of formation from the pure elements is 0.728 eV per atom. For the volume, the calculation gives 22.9 Å³ per atom.

Lattice parameters (Å, degrees): 4.589 4.589 6.850 96.71 96.71 39.72
Fractional positions:
Ca (0.000, 0.000, 0.000)
Tl (0.244, 0.244, 0.689)
W (0.495, 0.495, 0.433)
W (0.766, 0.766, 0.297)

***

Record 8
CaY2Tl9 | PBE | relaxed

Output
Its space group is P4/mmm. For the energy, the calculation gives -3.265 eV/atom. The energy of formation from the pure elements is -0.246 eV per atom. For the volume, the calculation gives 27.6 Å³ per atom.

Lattice parameters (Å, degrees): 4.795 4.795 14.417 90.00 90.00 90.00
Fractional positions:
Ca (0.000, 0.000, 0.000)
Y (0.000, 0.000, 0.339)
Y (0.000, 0.000, 0.661)
Tl (0.000, 0.500, 0.170)
Tl (0.000, 0.500, 0.500)
Tl (0.000, 0.500, 0.830)
Tl (0.500, 0.000, 0.170)
Tl (0.500, 0.000, 0.500)
Tl (0.500, 0.000, 0.830)
Tl (0.500, 0.500, 0.000)
Tl (0.500, 0.500, 0.333)
Tl (0.500, 0.500, 0.667)